Compound: FeSiO2
Source: the Alexandria database
Functional: PBE+U
Structure: optimized geometry

Computed properties:
DFT total energy: -25.9 eV per cell

extended XYZ file:
```
4
Lattice="1.351 0.780 7.391 -1.351 0.780 7.391 0.000 -1.560 7.391" Properties=species:S:1:pos:R:3 pbc="T T T"
Fe 0.000 0.000 0.000
Si 0.000 0.000 11.087
O 0.000 0.000 2.783
O 0.000 0.000 19.391
```